Density functional theory data (PBE) for a geometry-optimized KZrCd3 structure.

a b c (Å): 5.761 5.761 5.761
angles (deg): 90.00 90.00 90.00
Fractional positions:
K  0.000  0.000  0.000
Zr  0.500  0.500  0.500
Cd  0.000  0.500  0.500
Cd  0.500  0.000  0.500
Cd  0.500  0.500  0.000

energy above the lowest structure with this stoichiometry	0.000	eV/f.u.

Density functional theory data (PBE) for a geometry-optimized KZrCd2 structure.

a b c (Å): 3.339 3.339 9.707
angles (deg): 90.00 90.00 90.00
Fractional positions:
K  0.000  0.000  0.000
Zr  0.000  0.000  0.500
Cd  0.500  0.500  0.295
Cd  0.500  0.500  0.705

energy above the lowest structure with this stoichiometry	0.000	eV/f.u.

Density functional theory data (PBE) for a geometry-optimized K2ZrCd structure.

a b c (Å): 3.623 3.609 11.557
angles (deg): 90.00 90.19 90.00
Fractional positions:
K  0.000  0.000  0.000
K  0.493  0.500  0.363
Zr  0.497  0.500  0.727
Cd  0.995  0.000  0.594

Density functional theory data (PBE) for a geometry-optimized K2ZrCd structure.

a b c (Å): 7.765 7.765 7.765
angles (deg): 99.42 99.42 132.27
Fractional positions:
K  0.084  0.625  0.959
K  0.375  0.334  0.459
K  0.666  0.125  0.041
K  0.875  0.916  0.541
Zr  0.250  0.750  0.500
Zr  0.500  0.500  0.000
Cd  0.000  0.000  0.000
Cd  0.750  0.250  0.500

Density functional theory data (PBE) for a geometry-optimized KZrCd2 structure.

a b c (Å): 6.125 6.125 6.125
angles (deg): 136.66 136.66 62.97
Fractional positions:
K  0.000  0.000  0.000
Zr  0.250  0.750  0.500
Cd  0.500  0.500  0.000
Cd  0.750  0.250  0.500

energy above the lowest structure with this stoichiometry	1.712	eV/f.u.

Density functional theory data (PBE) for a geometry-optimized KZrCd2 structure.

a b c (Å): 12.095 12.095 12.095
angles (deg): 15.11 15.11 15.11
Fractional positions:
K  0.000  0.000  0.000
Zr  0.238  0.238  0.238
Cd  0.499  0.499  0.499
Cd  0.754  0.754  0.754

energy above the lowest structure with this stoichiometry	0.900	eV/f.u.

Density functional theory data (PBE) for a geometry-optimized KZrCd3 structure.

a b c (Å): 5.448 5.448 5.448
angles (deg): 90.00 90.00 90.00
Fractional positions:
K  0.000  0.000  0.000
Zr  0.500  0.500  0.500
Cd  0.000  0.000  0.500
Cd  0.000  0.500  0.000
Cd  0.500  0.000  0.000

energy above the lowest structure with this stoichiometry	3.804	eV/f.u.

Density functional theory data (PBE) for a geometry-optimized K2ZrCd structure.

a b c (Å): 4.574 4.574 6.291
angles (deg): 90.00 90.00 90.00
Fractional positions:
K  0.000  0.500  0.000
K  0.500  0.000  0.000
Zr  0.000  0.000  0.500
Cd  0.500  0.500  0.500

Density functional theory data (PBE) for a geometry-optimized KZrCd2 structure.

a b c (Å): 5.317 5.317 5.317
angles (deg): 60.00 60.00 60.00
Fractional positions:
K  0.000  0.000  0.000
Zr  0.500  0.500  0.500
Cd  0.250  0.250  0.250
Cd  0.750  0.750  0.750

energy above the lowest structure with this stoichiometry	1.275	eV/f.u.

Density functional theory data (PBE) for a geometry-optimized K2ZrCd structure.

a b c (Å): 10.690 10.690 10.690
angles (deg): 161.90 153.52 32.26
Fractional positions:
K  0.155  0.155  0.000
K  0.845  0.845  0.000
Zr  0.500  0.000  0.500
Cd  0.000  0.500  0.500

Density functional theory data (PBE) for a geometry-optimized K2ZrCd structure.

a b c (Å): 3.262 3.262 12.598
angles (deg): 90.00 90.00 90.00
Fractional positions:
K  0.000  0.000  0.240
K  0.000  0.000  0.760
Zr  0.500  0.500  0.500
Cd  0.500  0.500  0.000

Density functional theory data (PBE) for a geometry-optimized K2ZrCd structure.

a b c (Å): 7.365 7.365 3.123
angles (deg): 101.10 101.10 124.69
Fractional positions:
K  0.000  0.500  0.000
K  0.500  0.000  0.000
Zr  0.000  0.000  0.500
Cd  0.500  0.500  0.500

Density functional theory data (PBE) for a geometry-optimized KZrCd2 structure.

a b c (Å): 5.863 5.863 2.992
angles (deg): 90.00 90.00 90.00
Fractional positions:
K  0.000  0.000  0.000
Zr  0.500  0.500  0.000
Cd  0.000  0.500  0.500
Cd  0.500  0.000  0.500

energy above the lowest structure with this stoichiometry	0.382	eV/f.u.

Density functional theory data (PBE) for a geometry-optimized K2ZrCd structure.

a b c (Å): 7.097 7.097 3.170
angles (deg): 90.00 90.00 122.96
Fractional positions:
K  0.000  0.500  0.000
K  0.500  0.000  0.000
Zr  0.000  0.000  0.500
Cd  0.500  0.500  0.500

Density functional theory data (PBE) for a geometry-optimized KZrCd2 structure.

a b c (Å): 5.221 5.221 5.221
angles (deg): 60.00 60.00 60.00
Fractional positions:
K  0.000  0.000  0.000
Zr  0.250  0.250  0.250
Cd  0.500  0.500  0.500
Cd  0.750  0.750  0.750

energy above the lowest structure with this stoichiometry	2.007	eV/f.u.

Density functional theory data (PBE) for a geometry-optimized KZr3Cd structure.

a b c (Å): 4.983 4.983 4.983
angles (deg): 90.00 90.00 90.00
Fractional positions:
K  0.000  0.000  0.000
Zr  0.000  0.000  0.500
Zr  0.000  0.500  0.000
Zr  0.500  0.000  0.000
Cd  0.500  0.500  0.500

energy above the lowest structure with this stoichiometry	2.914	eV/f.u.

Density functional theory data (PBE) for a geometry-optimized KZrCd2 structure.

a b c (Å): 3.228 3.228 10.518
angles (deg): 90.00 90.00 90.00
Fractional positions:
K  0.000  0.000  0.000
Zr  0.500  0.500  0.326
Cd  0.000  0.000  0.520
Cd  0.500  0.500  0.730

energy above the lowest structure with this stoichiometry	0.748	eV/f.u.

Density functional theory data (PBE) for a geometry-optimized KZrCd2 structure.

a b c (Å): 6.884 6.884 6.884
angles (deg): 154.43 130.82 56.24
Fractional positions:
K  0.000  0.000  0.000
Zr  0.295  0.795  0.500
Cd  0.518  0.518  0.000
Cd  0.734  0.234  0.500

energy above the lowest structure with this stoichiometry	0.723	eV/f.u.

Density functional theory data (PBE) for a geometry-optimized KZrCd2 structure.

a b c (Å): 3.083 5.201 6.761
angles (deg): 90.00 90.00 90.00
Fractional positions:
K  0.000  0.000  0.000
Zr  0.500  0.500  0.354
Cd  0.000  0.000  0.492
Cd  0.500  0.500  0.794

energy above the lowest structure with this stoichiometry	0.884	eV/f.u.

Density functional theory data (PBE) for a geometry-optimized KZrCd2 structure.

a b c (Å): 6.913 6.913 6.913
angles (deg): 105.43 105.43 117.90
Fractional positions:
K  0.000  0.000  0.000
K  0.750  0.250  0.500
Zr  0.250  0.750  0.500
Zr  0.500  0.500  0.000
Cd  0.160  0.625  0.035
Cd  0.375  0.410  0.535
Cd  0.590  0.125  0.965
Cd  0.875  0.840  0.465

energy above the lowest structure with this stoichiometry	2.119	eV/f.u.

Density functional theory data (PBE) for a geometry-optimized K2ZrCd structure.

a b c (Å): 13.312 13.312 13.312
angles (deg): 14.69 14.69 14.69
Fractional positions:
K  0.248  0.248  0.248
K  0.752  0.752  0.752
Zr  0.000  0.000  0.000
Cd  0.500  0.500  0.500

Density functional theory data (PBE) for a geometry-optimized KZrCd2 structure.

a b c (Å): 6.264 6.264 5.957
angles (deg): 102.67 102.67 27.23
Fractional positions:
K  0.000  0.000  0.000
Zr  0.791  0.791  0.407
Cd  0.246  0.246  0.874
Cd  0.534  0.534  0.507

energy above the lowest structure with this stoichiometry	0.636	eV/f.u.

Density functional theory data (PBE) for a geometry-optimized K2ZrCd structure.

a b c (Å): 5.811 5.811 5.811
angles (deg): 60.00 60.00 60.00
Fractional positions:
K  0.000  0.000  0.000
K  0.250  0.250  0.250
Zr  0.750  0.750  0.750
Cd  0.500  0.500  0.500

Density functional theory data (PBE) for a geometry-optimized K2ZrCd structure.

a b c (Å): 3.310 3.310 13.110
angles (deg): 90.00 90.00 114.48
Fractional positions:
K  0.000  0.000  0.241
K  0.000  0.000  0.759
Zr  0.500  0.500  0.500
Cd  0.500  0.500  0.000

Density functional theory data (PBE) for a geometry-optimized KZrCd2 structure.

a b c (Å): 5.161 5.161 7.924
angles (deg): 93.94 93.94 33.92
Fractional positions:
K  0.000  0.000  0.000
Zr  0.500  0.500  0.500
Cd  0.241  0.241  0.687
Cd  0.759  0.759  0.313

energy above the lowest structure with this stoichiometry	0.700	eV/f.u.

Density functional theory data (PBE) for a geometry-optimized KZr3Cd structure.

a b c (Å): 5.449 5.449 5.449
angles (deg): 90.00 90.00 90.00
Fractional positions:
K  0.000  0.000  0.000
Zr  0.000  0.500  0.500
Zr  0.500  0.000  0.500
Zr  0.500  0.500  0.000
Cd  0.500  0.500  0.500

energy above the lowest structure with this stoichiometry	0.000	eV/f.u.

Density functional theory data (PBE) for a geometry-optimized K2ZrCd structure.

a b c (Å): 7.072 7.072 7.072
angles (deg): 142.29 142.29 54.39
Fractional positions:
K  0.250  0.750  0.500
K  0.750  0.250  0.500
Zr  0.000  0.000  0.000
Cd  0.500  0.500  0.000

Density functional theory data (PBE) for a geometry-optimized KZr4Cd structure.

a b c (Å): 6.049 6.049 6.049
angles (deg): 60.00 60.00 60.00
Fractional positions:
K  0.000  0.000  0.000
Zr  0.131  0.623  0.623
Zr  0.623  0.131  0.623
Zr  0.623  0.623  0.131
Zr  0.623  0.623  0.623
Cd  0.250  0.250  0.250

Density functional theory data (PBE) for a geometry-optimized K2ZrCd structure.

a b c (Å): 7.834 7.834 7.834
angles (deg): 156.50 128.70 57.16
Fractional positions:
K  0.000  0.000  0.000
K  0.710  0.210  0.500
Zr  0.289  0.789  0.500
Cd  0.469  0.469  0.000

Density functional theory data (PBE) for a geometry-optimized KZr2Cd2 structure.

a b c (Å): 9.352 9.352 2.961
angles (deg): 90.00 90.00 90.00
Fractional positions:
K  0.000  0.000  0.000
K  0.500  0.500  0.000
Zr  0.118  0.382  0.000
Zr  0.382  0.882  0.000
Zr  0.618  0.118  0.000
Zr  0.882  0.618  0.000
Cd  0.175  0.675  0.500
Cd  0.325  0.175  0.500
Cd  0.675  0.825  0.500
Cd  0.825  0.325  0.500

Number 1: formation energy 10.5 kcal/mol of atoms. Number 2: formation energy 1.7 kcal/mol of atoms. Number 3: formation energy 8.3 kcal/mol of atoms. Number 4: formation energy 20.2 kcal/mol of atoms. Number 5: formation energy 11.5 kcal/mol of atoms. Number 6: formation energy 6.8 kcal/mol of atoms. Number 7: formation energy 28.0 kcal/mol of atoms. Number 8: formation energy 15.5 kcal/mol of atoms. Number 9: formation energy 9.0 kcal/mol of atoms. Number 10: formation energy 10.3 kcal/mol of atoms. Number 11: formation energy 13.9 kcal/mol of atoms. Number 12: formation energy 14.5 kcal/mol of atoms. Number 13: formation energy 3.9 kcal/mol of atoms. Number 14: formation energy 15.5 kcal/mol of atoms. Number 15: formation energy 13.2 kcal/mol of atoms. Number 16: formation energy 41.9 kcal/mol of atoms. Number 17: formation energy 6.0 kcal/mol of atoms. Number 18: formation energy 5.8 kcal/mol of atoms. Number 19: formation energy 6.8 kcal/mol of atoms. Number 20: formation energy 13.9 kcal/mol of atoms. Number 21: formation energy 12.9 kcal/mol of atoms. Number 22: formation energy 5.3 kcal/mol of atoms. Number 23: formation energy 18.3 kcal/mol of atoms. Number 24: formation energy 13.1 kcal/mol of atoms. Number 25: formation energy 5.7 kcal/mol of atoms. Number 26: formation energy 28.5 kcal/mol of atoms. Number 27: formation energy 15.6 kcal/mol of atoms. Number 28: formation energy 14.1 kcal/mol of atoms. Number 29: formation energy 13.6 kcal/mol of atoms. Number 30: formation energy 4.3 kcal/mol of atoms.